Record 1
First-principles (GGA-PBE) data for NaMg2Tl2Cd after structural relaxation, as listed in Alexandria via LeMat-Bulk.

Output
For the volume, the calculation gives 305.1 Å³ per cell. The symmetry is Pmc2_1. Its calculated formation energy is -0.05 eV per atom.

Cell: 5.182 9.147 6.438 Å, 90.00 90.00 90.00°
Fractional coordinates of all 12 atoms:
Na: 0.000 0.000 0.000
Na: 0.000 0.000 0.500
Mg: 0.000 0.345 0.251
Mg: 0.000 0.655 0.751
Mg: 0.500 0.500 0.001
Mg: 0.500 0.500 0.501
Tl: 0.000 0.333 0.751
Tl: 0.000 0.667 0.251
Tl: 0.500 0.184 0.249
Tl: 0.500 0.816 0.749
Cd: 0.500 0.158 0.749
Cd: 0.500 0.842 0.249

=====

Record 2
First-principles (GGA-PBE) data for NaYMgCd after structural relaxation, as listed in Alexandria via LeMat-Bulk.

Output
For the volume, the calculation gives 98.7 Å³ per cell. The symmetry is F-43m. Its calculated formation energy is -0.06 eV per atom.

Cell: 5.187 5.187 5.187 Å, 60.00 60.00 60.00°
Fractional coordinates of all 4 atoms:
Na: 0.000 0.000 0.000
Y: 0.250 0.250 0.250
Mg: 0.750 0.750 0.750
Cd: 0.500 0.500 0.500

=====

Record 3
First-principles (GGA-PBE) data for NaMgZn2Cd after structural relaxation, as listed in Alexandria via LeMat-Bulk.

Output
For the volume, the calculation gives 137.4 Å³ per cell. The symmetry is P4/mmm. Its calculated formation energy is 0.29 eV per atom.

Cell: 5.098 5.098 5.287 Å, 90.00 90.00 90.00°
Fractional coordinates of all 5 atoms:
Na: 0.000 0.000 0.000
Mg: 0.500 0.500 0.000
Zn: 0.000 0.500 0.500
Zn: 0.500 0.000 0.500
Cd: 0.500 0.500 0.500

=====

Record 4
First-principles (GGA-PBE) data for Na2MgZn2Cd5 after structural relaxation, as listed in Alexandria via LeMat-Bulk.

Output
For the volume, the calculation gives 458.0 Å³ per cell. The symmetry is P4/mbm. Its calculated formation energy is -0.04 eV per atom.

Cell: 10.921 10.921 3.840 Å, 90.00 90.00 90.00°
Fractional coordinates of all 20 atoms:
Na: 0.175 0.325 0.000
Na: 0.325 0.825 0.000
Na: 0.675 0.175 0.000
Na: 0.825 0.675 0.000
Mg: 0.000 0.000 0.000
Mg: 0.500 0.500 0.000
Zn: 0.128 0.628 0.000
Zn: 0.372 0.128 0.000
Zn: 0.628 0.872 0.000
Zn: 0.872 0.372 0.000
Cd: 0.000 0.500 0.500
Cd: 0.058 0.800 0.500
Cd: 0.200 0.058 0.500
Cd: 0.300 0.558 0.500
Cd: 0.442 0.300 0.500
Cd: 0.500 0.000 0.500
Cd: 0.558 0.700 0.500
Cd: 0.700 0.442 0.500
Cd: 0.800 0.942 0.500
Cd: 0.942 0.200 0.500